A plane-wave DFT calculation with meta-GGA SCAN was carried out for TbPtF7 at its PBEsol-relaxed geometry.

Summary:
Its density of states at the Fermi level is 0.0 states/eV/cell. For the formation energy (no corrections), the calculation gives -25.245 eV/f.u.

The structure in CIF format:
```
data_TbPtF7
_chemical_formula_sum 'Tb4 Pt4 F28'
_cell_length_a 8.8005
_cell_length_b 5.4456
_cell_length_c 11.8433
_cell_angle_alpha 90.00
_cell_angle_beta 117.86
_cell_angle_gamma 90.00
_symmetry_space_group_name_H-M 'P 1 21/c 1'
_symmetry_Int_Tables_number 14
_symmetry_space_group_name_Hall '-P 2ybc'
loop_
_atom_site_label
_atom_site_fract_x
_atom_site_fract_y
_atom_site_fract_z
Tb1 0.1867 0.2395 0.2645
Pt1 0.2721 0.7434 0.0425
F1 0.0233 0.7452 0.9491
F2 0.0337 0.5931 0.7318
F3 0.2550 0.5562 0.1756
F4 0.2744 0.0402 0.1339
F5 0.2785 0.0605 0.4584
F6 0.2951 0.5630 0.4136
F7 0.4794 0.2293 0.3589
```